#i
A PBEsol-optimized structure of CdFeSi, computed with SCAN.

Unit cell a=3.9034 b=3.9034 c=3.3114 alpha=90.00 beta=90.00 gamma=120.00
Space group P-6m2 (No. 187)
Inequivalent atoms, fractional coordinates:
Cd (0.0000, 0.0000, 0.0000) x1
Fe (0.3333, 0.6667, 0.5000) x1
Si (0.6667, 0.3333, 0.5000) x1

Computed properties:
density of states at the Fermi level	1.33	states/eV/cell

---

#ii
A PBEsol-optimized structure of CdFeSi, computed with SCAN.

Unit cell a=2.9356 b=2.9356 c=9.8069 alpha=90.00 beta=90.00 gamma=90.00
Space group I4mm (No. 107)
Inequivalent atoms, fractional coordinates:
Cd (0.0000, 0.0000, 0.0000) x2
Fe (0.0000, 0.0000, 0.6952) x2
Si (0.0000, 0.0000, 0.2910) x2

Computed properties:
density of states at the Fermi level	0.91	states/eV/cell

---

#ii takes first place; second place is 157 meV/atom up.

---

#i
A PBEsol-optimized structure of CdFe2Te, computed with SCAN.

Unit cell a=2.9606 b=4.4191 c=10.7698 alpha=90.00 beta=90.00 gamma=90.00
Space group Imm2 (No. 44)
Inequivalent atoms, fractional coordinates:
Cd (0.0000, 0.0000, 0.0000) x2
Fe (0.0000, 0.0000, 0.5158) x2
Fe (0.0000, 0.5000, 0.8426) x2
Te (0.0000, 0.5000, 0.2222) x2

Computed properties:
density of states at the Fermi level	5.42	states/eV/cell

---

#ii
A PBEsol-optimized structure of CdFe2Te, computed with SCAN.

Unit cell a=3.1063 b=3.1063 c=7.2990 alpha=90.00 beta=90.00 gamma=90.00
Space group P4mm (No. 99)
Inequivalent atoms, fractional coordinates:
Cd (0.0000, 0.0000, 0.0000) x1
Fe (0.0000, 0.0000, 0.3878) x1
Fe (0.5000, 0.5000, 0.2242) x1
Te (0.5000, 0.5000, 0.5913) x1

Computed properties:
density of states at the Fermi level	3.07	states/eV/cell

---

#iii
A PBEsol-optimized structure of CdFe2Te, computed with SCAN.

Unit cell a=3.0704 b=3.0704 c=24.2325 alpha=90.00 beta=90.00 gamma=120.00
Space group R-3m (No. 166, hexagonal axes)
Inequivalent atoms, fractional coordinates:
Cd (0.0000, 0.0000, 0.0000) x3
Fe (0.0000, 0.0000, 0.2461) x6
Te (0.0000, 0.0000, 0.5000) x3

Computed properties:
density of states at the Fermi level	6.48	states/eV/cell

---

#ii takes first place; second place is 121 meV/atom up.

---

#i
A PBEsol-optimized structure of Cd2FeW, computed with SCAN.

Unit cell a=2.8187 b=2.8187 c=28.5068 alpha=90.00 beta=90.00 gamma=120.00
Space group R-3m (No. 166, hexagonal axes)
Inequivalent atoms, fractional coordinates:
Cd (0.0000, 0.0000, 0.2460) x6
Fe (0.0000, 0.0000, 0.5000) x3
W (0.0000, 0.0000, 0.0000) x3

Computed properties:
density of states at the Fermi level	8.31	states/eV/cell

---

#ii
A PBEsol-optimized structure of Cd2FeW, computed with SCAN.

Unit cell a=2.9555 b=4.7777 c=9.3106 alpha=90.00 beta=90.00 gamma=90.00
Space group Imm2 (No. 44)
Inequivalent atoms, fractional coordinates:
Cd (0.0000, 0.0000, 0.0000) x2
Cd (0.0000, 0.5000, 0.2206) x2
Fe (0.0000, 0.5000, 0.7518) x2
W (0.0000, 0.0000, 0.4404) x2

Computed properties:
density of states at the Fermi level	5.13	states/eV/cell

---

#i takes first place; second place is 115 meV/atom up.

---

#i
A PBEsol-optimized structure of Cd2FeW, computed with SCAN.

Unit cell a=5.5348 b=8.7387 c=2.7016 alpha=90.00 beta=90.00 gamma=90.00
Space group Cmmm (No. 65)
Inequivalent atoms, fractional coordinates:
Cd (0.2500, 0.2500, 0.0000) x4
Fe (0.0000, 0.0000, 0.5000) x2
W (0.0000, 0.5000, 0.5000) x2

Computed properties:
density of states at the Fermi level	3.49	states/eV/cell

---

#ii
A PBEsol-optimized structure of Cd2FeW, computed with SCAN.

Unit cell a=2.9464 b=4.5739 c=4.8047 alpha=90.00 beta=90.00 gamma=90.00
Space group Pmmm (No. 47)
Inequivalent atoms, fractional coordinates:
Cd (0.0000, 0.0000, 0.0000) x1
Cd (0.5000, 0.5000, 0.0000) x1
Fe (0.0000, 0.5000, 0.5000) x1
W (0.5000, 0.0000, 0.5000) x1

Computed properties:
density of states at the Fermi level	2.06	states/eV/cell

---

#i takes first place; second place is 86 meV/atom up.

---

#i
A PBEsol-optimized structure of ZrCd3Fe, computed with SCAN.

Unit cell a=4.7652 b=4.7652 c=4.7652 alpha=90.00 beta=90.00 gamma=90.00
Space group Pm-3m (No. 221)
Inequivalent atoms, fractional coordinates:
Zr (0.0000, 0.0000, 0.0000) x1
Cd (0.0000, 0.5000, 0.5000) x3
Fe (0.5000, 0.5000, 0.5000) x1

Computed properties:
density of states at the Fermi level	2.30	states/eV/cell

---

#ii
A PBEsol-optimized structure of ZrCd3Fe, computed with SCAN.

Unit cell a=5.3785 b=5.3785 c=5.3785 alpha=90.00 beta=90.00 gamma=90.00
Space group Pm-3m (No. 221)
Inequivalent atoms, fractional coordinates:
Zr (0.0000, 0.0000, 0.0000) x1
Cd (0.0000, 0.0000, 0.5000) x3
Fe (0.5000, 0.5000, 0.5000) x1

Computed properties:
density of states at the Fermi level	4.23	states/eV/cell

---

#i takes first place; second place is 918 meV/atom up.

---

#i
A PBEsol-optimized structure of Cd2Ga2Hg, computed with SCAN.

Unit cell a=3.9261 b=3.9261 c=13.7715 alpha=90.00 beta=90.00 gamma=90.00
Space group I4/mmm (No. 139)
Inequivalent atoms, fractional coordinates:
Cd (0.0000, 0.0000, 0.1012) x4
Ga (0.0000, 0.5000, 0.2500) x4
Hg (0.0000, 0.0000, 0.5000) x2

Computed properties:
density of states at the Fermi level	4.44	states/eV/cell

---

#ii
A PBEsol-optimized structure of Cd2Ga2Hg, computed with SCAN.

Unit cell a=8.4525 b=8.4525 c=2.9469 alpha=90.00 beta=90.00 gamma=90.00
Space group P4/mbm (No. 127)
Inequivalent atoms, fractional coordinates:
Cd (0.1790, 0.3210, 0.0000) x4
Ga (0.1181, 0.6181, 0.5000) x4
Hg (0.0000, 0.0000, 0.0000) x2

Computed properties:
density of states at the Fermi level	3.69	states/eV/cell

---

#i takes first place; second place is 6 meV/atom up.

---

#i
A PBEsol-optimized structure of Na2CdGa2, computed with SCAN.

Unit cell a=6.8671 b=6.8671 c=4.9001 alpha=90.00 beta=90.00 gamma=90.00
Space group P4/mbm (No. 127)
Inequivalent atoms, fractional coordinates:
Na (0.1750, 0.3250, 0.0000) x4
Cd (0.0000, 0.0000, 0.5000) x2
Ga (0.1274, 0.6274, 0.5000) x4

Computed properties:
density of states at the Fermi level	4.98	states/eV/cell

---

#ii
A PBEsol-optimized structure of Na2CdGa2, computed with SCAN.

Unit cell a=4.0469 b=4.0469 c=13.9078 alpha=90.00 beta=90.00 gamma=90.00
Space group I4/mmm (No. 139)
Inequivalent atoms, fractional coordinates:
Na (0.0000, 0.5000, 0.2500) x4
Cd (0.0000, 0.0000, 0.0000) x2
Ga (0.0000, 0.0000, 0.4116) x4

Computed properties:
density of states at the Fermi level	4.62	states/eV/cell

---

#i takes first place; second place is 222 meV/atom up.

---

#i
A PBEsol-optimized structure of Cd2Ga2Pb, computed with SCAN.

Unit cell a=8.3222 b=8.3222 c=3.1843 alpha=90.00 beta=90.00 gamma=90.00
Space group P4/mbm (No. 127)
Inequivalent atoms, fractional coordinates:
Cd (0.1303, 0.3697, 0.0000) x4
Ga (0.1673, 0.6673, 0.5000) x4
Pb (0.0000, 0.0000, 0.0000) x2

Computed properties:
density of states at the Fermi level	4.48	states/eV/cell

---

#ii
A PBEsol-optimized structure of Cd2Ga2Pb, computed with SCAN.

Unit cell a=4.1192 b=4.1192 c=13.1618 alpha=90.00 beta=90.00 gamma=90.00
Space group I4/mmm (No. 139)
Inequivalent atoms, fractional coordinates:
Cd (0.0000, 0.0000, 0.1064) x4
Ga (0.0000, 0.5000, 0.2500) x4
Pb (0.0000, 0.0000, 0.5000) x2

Computed properties:
density of states at the Fermi level	4.04	states/eV/cell

---

#ii takes first place; second place is 37 meV/atom up.

---

#i
A PBEsol-optimized structure of CdGaSn2, computed with SCAN.

Unit cell a=4.3035 b=4.3035 c=20.8698 alpha=90.00 beta=90.00 gamma=90.00
Space group I-42d (No. 122)
Inequivalent atoms, fractional coordinates:
Cd (0.0000, 0.0000, 0.0000) x4
Ga (0.0000, 0.0000, 0.5000) x4
Sn (0.2468, 0.2500, 0.6250) x8

Computed properties:
density of states at the Fermi level	6.38	states/eV/cell

---

#ii
A PBEsol-optimized structure of CdGaSn2, computed with SCAN.

Unit cell a=7.1817 b=7.1817 c=7.1817 alpha=90.00 beta=90.00 gamma=90.00
Space group Fm-3m (No. 225)
Inequivalent atoms, fractional coordinates:
Cd (0.0000, 0.0000, 0.0000) x4
Ga (0.0000, 0.0000, 0.5000) x4
Sn (0.2500, 0.2500, 0.2500) x8

Computed properties:
density of states at the Fermi level	9.44	states/eV/cell

---

#i takes first place; second place is 71 meV/atom up.

---

#i
A PBEsol-optimized structure of ZnCdGa2, computed with SCAN.

Unit cell a=4.0754 b=4.0754 c=17.9636 alpha=90.00 beta=90.00 gamma=90.00
Space group I-42d (No. 122)
Inequivalent atoms, fractional coordinates:
Zn (0.0000, 0.0000, 0.0000) x4
Cd (0.0000, 0.0000, 0.5000) x4
Ga (0.2243, 0.2500, 0.1250) x8

Computed properties:
density of states at the Fermi level	4.84	states/eV/cell

---

#ii
A PBEsol-optimized structure of ZnCdGa2, computed with SCAN.

Unit cell a=6.6467 b=6.6467 c=6.6467 alpha=90.00 beta=90.00 gamma=90.00
Space group Fm-3m (No. 225)
Inequivalent atoms, fractional coordinates:
Zn (0.0000, 0.0000, 0.0000) x4
Cd (0.0000, 0.0000, 0.5000) x4
Ga (0.2500, 0.2500, 0.2500) x8

Computed properties:
density of states at the Fermi level	7.27	states/eV/cell

---

#i takes first place; second place is 99 meV/atom up.

---

#i
A PBEsol-optimized structure of Zn2CdGa2, computed with SCAN.

Unit cell a=3.9054 b=3.9054 c=11.6160 alpha=90.00 beta=90.00 gamma=90.00
Space group I4/mmm (No. 139)
Inequivalent atoms, fractional coordinates:
Zn (0.0000, 0.5000, 0.2500) x4
Cd (0.0000, 0.0000, 0.0000) x2
Ga (0.0000, 0.0000, 0.3942) x4

Computed properties:
density of states at the Fermi level	3.23	states/eV/cell

---

#ii
A PBEsol-optimized structure of Zn2CdGa2, computed with SCAN.

Unit cell a=7.9380 b=7.9380 c=2.7794 alpha=90.00 beta=90.00 gamma=90.00
Space group P4/mbm (No. 127)
Inequivalent atoms, fractional coordinates:
Zn (0.1688, 0.3312, 0.0000) x4
Cd (0.0000, 0.0000, 0.5000) x2
Ga (0.1288, 0.6288, 0.5000) x4

Computed properties:
density of states at the Fermi level	3.59	states/eV/cell

---

#i takes first place; second place is 51 meV/atom up.

---

#i
A PBEsol-optimized structure of LaCd2Ge2, computed with SCAN.

Unit cell a=4.7252 b=4.7252 c=10.2962 alpha=90.00 beta=90.00 gamma=90.00
Space group I4/mmm (No. 139)
Inequivalent atoms, fractional coordinates:
La (0.0000, 0.0000, 0.0000) x2
Cd (0.0000, 0.0000, 0.3725) x4
Ge (0.0000, 0.5000, 0.2500) x4

Computed properties:
density of states at the Fermi level	3.37	states/eV/cell

---

#ii
A PBEsol-optimized structure of LaCd2Ge2, computed with SCAN.

Unit cell a=4.2666 b=4.2666 c=12.1699 alpha=90.00 beta=90.00 gamma=90.00
Space group I4/mmm (No. 139)
Inequivalent atoms, fractional coordinates:
La (0.0000, 0.0000, 0.0000) x2
Cd (0.0000, 0.5000, 0.2500) x4
Ge (0.0000, 0.0000, 0.3969) x4

Computed properties:
density of states at the Fermi level	3.79	states/eV/cell

---

#ii takes first place; second place is 113 meV/atom up.

---

#i
A PBEsol-optimized structure of CdHPt3, computed with SCAN.

Unit cell a=5.7293 b=5.7293 c=6.9843 alpha=90.00 beta=90.00 gamma=120.00
Space group R3m (No. 160, hexagonal axes)
Inequivalent atoms, fractional coordinates:
Cd (0.0000, 0.0000, 0.0000) x3
H (0.0000, 0.0000, 0.4287) x3
Pt (0.1703, 0.3406, 0.3301) x9

Computed properties:
density of states at the Fermi level	11.14	states/eV/cell

---

#ii
A PBEsol-optimized structure of CdHPt3, computed with SCAN.

Unit cell a=4.0361 b=4.0361 c=4.0361 alpha=90.00 beta=90.00 gamma=90.00
Space group Pm-3m (No. 221)
Inequivalent atoms, fractional coordinates:
Cd (0.0000, 0.0000, 0.0000) x1
H (0.5000, 0.5000, 0.5000) x1
Pt (0.0000, 0.5000, 0.5000) x3

Computed properties:
density of states at the Fermi level	3.87	states/eV/cell

---

#i takes first place; second place is 20 meV/atom up.